[1]
A relaxed structure of Li2Er3Ga9. Source: Alexandria via LeMat-Bulk, functional PBE.

a = 4.210 Å, b = 8.215 Å, c = 8.215 Å
α = 72.43°, β = 75.15°, γ = 75.15°
Fractional positions:
Li 0.500 0.298 0.702
Li 0.500 0.702 0.298
Er 0.000 0.000 0.000
Er 0.691 0.309 0.309
Er 0.309 0.691 0.691
Ga 0.000 0.500 0.500
Ga 0.657 0.974 0.711
Ga 0.343 0.026 0.289
Ga 0.657 0.711 0.974
Ga 0.343 0.289 0.026
Ga 0.862 0.859 0.417
Ga 0.138 0.141 0.583
Ga 0.862 0.417 0.859
Ga 0.138 0.583 0.141

## Properties
Total DFT energy (no corrections) (eV per formula unit): -51.67

[2]
A relaxed structure of Hg2IO2. Source: Alexandria via LeMat-Bulk, functional PBE.

a = 6.982 Å, b = 6.754 Å, c = 6.911 Å
α = 59.71°, β = 61.74°, γ = 51.57°
Fractional positions:
Hg 0.454 0.503 0.271
Hg 0.880 0.783 0.680
Hg 0.120 0.217 0.320
Hg 0.546 0.497 0.729
I 0.828 0.806 0.183
I 0.172 0.194 0.817
O 0.539 0.750 0.856
O 0.753 0.238 0.507
O 0.461 0.250 0.144
O 0.247 0.762 0.493

## Properties
ΔE_f (raw) (kJ per mole of atoms): -10.5

[3]
A relaxed structure of TaTeAs2. Source: Alexandria via LeMat-Bulk, functional PBE.

a = 3.381 Å, b = 3.381 Å, c = 7.802 Å
α = 90.00°, β = 90.00°, γ = 90.00°
Fractional positions:
As 0.000 0.000 0.096
As 0.500 0.500 0.276
Te 0.500 0.500 0.676
Ta 0.000 0.000 0.452

## Properties
ΔE_f (raw) (kJ per mole of atoms): -7.9

[4]
A relaxed structure of KIr2Pb. Source: Alexandria via LeMat-Bulk, functional PBE.

a = 2.932 Å, b = 4.439 Å, c = 7.093 Å
α = 90.00°, β = 90.00°, γ = 90.00°
Fractional positions:
Ir 0.000 0.000 0.929
Ir 0.000 0.000 0.571
K 0.500 0.500 0.250
Pb 0.500 0.500 0.750

## Properties
Total DFT energy (no corrections) (eV per formula unit): -19.35